{
  "formula": "Dy2NiF8",
  "functional": "PBE with a Hubbard U",
  "state": "relaxed",
  "mass_density_g_cm3": 6.0,
  "e_tot_ev_per_fu": -66.208,
  "cell": [[4.754, -3.552, 0.000], [4.754, 3.552, 0.000], [-1.485, 0.000, 4.363]],
  "species": ["Dy", "Dy", "Ni", "F", "F", "F", "F", "F", "F", "F", "F"],
  "frac_coords": [[0.176, 0.176, 0.383], [0.824, 0.824, 0.617], [0.500, 0.500, 0.000], [0.079, 0.079, 0.798], [0.162, 0.547, 0.731], [0.365, 0.365, 0.237], [0.453, 0.838, 0.269], [0.547, 0.162, 0.731], [0.635, 0.635, 0.763], [0.838, 0.453, 0.269], [0.921, 0.921, 0.202]]
}